(1)
Here is Pm4Er5Pu after structural relaxation from Alexandria. Energies are from GGA-PBE.

## Properties
* energy of formation: 2.56 eV per formula unit
* crystal system: orthorhombic

CIF file:
```
data_Pm4Er5Pu
_symmetry_space_group_name_H-M 'I m m m'
_symmetry_Int_Tables_number 71
_symmetry_space_group_name_Hall '-I 2 2'
_cell_length_a 5.6718
_cell_length_b 10.1576
_cell_length_c 11.4871
_cell_angle_alpha 90.00
_cell_angle_beta 90.00
_cell_angle_gamma 90.00
loop_
_atom_site_label
_atom_site_type_symbol
_atom_site_fract_x
_atom_site_fract_y
_atom_site_fract_z
Pm1 Pm 0.0000 0.0000 0.1856
Pm2 Pm 0.0000 0.2825 0.0000
Er1 Er 0.0000 0.0000 0.5000
Er2 Er 0.0000 0.3062 0.3081
Pu1 Pu 0.0000 0.5000 0.5000
```

---

(2)
Here is SrLiThTe3 after structural relaxation from Alexandria. Energies are from GGA-PBE.

## Properties
* uncorrected formation energy: -1267 meV/atom
* crystal system: monoclinic

CIF file:
```
data_SrLiThTe3
_symmetry_space_group_name_H-M 'P 1 21/m 1'
_symmetry_Int_Tables_number 11
_cell_length_a 9.4873
_cell_length_b 4.4033
_cell_length_c 9.7936
_cell_angle_alpha 90.00
_cell_angle_beta 105.50
_cell_angle_gamma 90.00
loop_
_symmetry_equiv_pos_as_xyz
'x,y,z'
'-x,-y,-z'
'-x,y+1/2,-z'
'x,-y+1/2,z'
loop_
_atom_site_label
_atom_site_type_symbol
_atom_site_fract_x
_atom_site_fract_y
_atom_site_fract_z
Sr1 Sr 0.1810 0.2500 0.2423
Li1 Li 0.0830 0.2500 0.5911
Th1 Th 0.3463 0.7500 0.8568
Te1 Te 0.1060 0.2500 0.8769
Te2 Te 0.2194 0.7500 0.5193
Te3 Te 0.4326 0.7500 0.1953
```

---

(3)
Here is Sn4HgI8 after structural relaxation from Alexandria. Energies are from GGA-PBE.

## Properties
* uncorrected formation energy: -401 meV/atom
* energy above the lowest structure with this stoichiometry: 0.048 eV/atom
* crystal system: cubic

CIF file:
```
data_Sn4HgI8
_symmetry_space_group_name_H-M 'F -4 3 m'
_symmetry_Int_Tables_number 216
_symmetry_space_group_name_Hall 'F -4 2 3'
_cell_length_a 13.6599
_cell_length_b 13.6599
_cell_length_c 13.6599
_cell_angle_alpha 90.00
_cell_angle_beta 90.00
_cell_angle_gamma 90.00
loop_
_atom_site_label
_atom_site_type_symbol
_atom_site_fract_x
_atom_site_fract_y
_atom_site_fract_z
Sn1 Sn 0.1237 0.1237 0.1237
Hg1 Hg 0.0000 0.0000 0.5000
I1 I 0.1156 0.1156 0.8844
I2 I 0.1413 0.1413 0.3587
```

---

(4)
Here is In7Hg4Pb after structural relaxation from Alexandria. Energies are from GGA-PBE.

## Properties
* energy of formation: 0.43 eV per formula unit
* crystal system: trigonal

CIF file:
```
data_In7Hg4Pb
_symmetry_space_group_name_H-M 'P -3 m 1'
_symmetry_Int_Tables_number 164
_symmetry_space_group_name_Hall '-P 3 2"'
_cell_length_a 3.9580
_cell_length_b 3.9580
_cell_length_c 24.9106
_cell_angle_alpha 90.00
_cell_angle_beta 90.00
_cell_angle_gamma 120.00
loop_
_atom_site_label
_atom_site_type_symbol
_atom_site_fract_x
_atom_site_fract_y
_atom_site_fract_z
In1 In 0.0000 0.0000 0.0000
In2 In 0.0000 0.0000 0.2486
In3 In 0.3333 0.6667 0.1619
In4 In 0.3333 0.6667 0.4083
Hg1 Hg 0.3333 0.6667 0.6714
Hg2 Hg 0.3333 0.6667 0.9186
Pb1 Pb 0.0000 0.0000 0.5000
```

---

(5)
Here is Y5RhAu2 after structural relaxation from Alexandria. Energies are from GGA-PBE.

## Properties
* energy of formation: -5.55 eV per formula unit
* crystal system: orthorhombic

CIF file:
```
data_Y5RhAu2
_symmetry_space_group_name_H-M 'P b a m'
_symmetry_Int_Tables_number 55
_cell_length_a 7.2891
_cell_length_b 11.6781
_cell_length_c 4.7987
_cell_angle_alpha 90.00
_cell_angle_beta 90.00
_cell_angle_gamma 90.00
loop_
_symmetry_equiv_pos_as_xyz
'x,y,z'
'-x,-y,-z'
'-x,-y,z'
'x,y,-z'
'x+1/2,-y+1/2,-z'
'-x+1/2,y+1/2,z'
'-x+1/2,y+1/2,-z'
'x+1/2,-y+1/2,z'
loop_
_atom_site_label
_atom_site_type_symbol
_atom_site_fract_x
_atom_site_fract_y
_atom_site_fract_z
Y1 Y 0.0000 0.0000 0.0000
Y2 Y 0.1528 0.2933 0.0000
Y3 Y 0.1801 0.5873 0.5000
Rh1 Rh 0.0000 0.5000 0.0000
Au1 Au 0.0703 0.8391 0.5000
```

---

(6)
Here is HgI3N2 after structural relaxation from Alexandria. Energies are from GGA-PBE.

## Properties
* uncorrected formation energy: 1019 meV/atom
* crystal system: triclinic

CIF file:
```
data_HgI3N2
_symmetry_space_group_name_H-M 'P -1'
_symmetry_Int_Tables_number 2
_cell_length_a 4.8600
_cell_length_b 9.1523
_cell_length_c 9.7439
_cell_angle_alpha 64.63
_cell_angle_beta 88.44
_cell_angle_gamma 82.52
loop_
_symmetry_equiv_pos_as_xyz
'x,y,z'
'-x,-y,-z'
loop_
_atom_site_label
_atom_site_type_symbol
_atom_site_fract_x
_atom_site_fract_y
_atom_site_fract_z
Hg1 Hg 0.1851 0.2046 0.0786
I1 I 0.1373 0.5773 0.1740
I2 I 0.2674 0.1200 0.7409
I3 I 0.3444 0.7891 0.6421
N1 N 0.3456 0.3356 0.3979
N2 N 0.4522 0.0580 0.2894
```

---

(7)
Here is TaNb6Pt after structural relaxation from Alexandria. Energies are from GGA-PBE.

## Properties
* energy of formation: -1.71 eV per formula unit
* energy above the lowest structure with this stoichiometry: 0.004 eV/atom
* crystal system: cubic

CIF file:
```
data_TaNb6Pt
_symmetry_space_group_name_H-M 'P m -3'
_symmetry_Int_Tables_number 200
_symmetry_space_group_name_Hall '-P 2 2 3'
_cell_length_a 5.2504
_cell_length_b 5.2504
_cell_length_c 5.2504
_cell_angle_alpha 90.00
_cell_angle_beta 90.00
_cell_angle_gamma 90.00
loop_
_atom_site_label
_atom_site_type_symbol
_atom_site_fract_x
_atom_site_fract_y
_atom_site_fract_z
Ta1 Ta 0.0000 0.0000 0.0000
Nb1 Nb 0.0000 0.2502 0.5000
Pt1 Pt 0.5000 0.5000 0.5000
```

---

(8)
Here is Rb2SiSeBr6 after structural relaxation from Alexandria. Energies are from GGA-PBE.

## Properties
* uncorrected formation energy: -819 meV/atom
* crystal system: tetragonal

CIF file:
```
data_Rb2SiSeBr6
_symmetry_space_group_name_H-M 'I 4/m m m'
_symmetry_Int_Tables_number 139
_symmetry_space_group_name_Hall '-I 4 2'
_cell_length_a 7.6950
_cell_length_b 7.6950
_cell_length_c 11.0267
_cell_angle_alpha 90.00
_cell_angle_beta 90.00
_cell_angle_gamma 90.00
loop_
_atom_site_label
_atom_site_type_symbol
_atom_site_fract_x
_atom_site_fract_y
_atom_site_fract_z
Rb1 Rb 0.0000 0.5000 0.2500
Si1 Si 0.0000 0.0000 0.0000
Se1 Se 0.0000 0.0000 0.5000
Br1 Br 0.0000 0.0000 0.2285
Br2 Br 0.2327 0.2327 0.0000
```